VASP calculation (PBE) on Na4Tl2Sn after structural relaxation.

```
14
Lattice="8.4352 0.0000 -0.6846 0.0000 6.2365 0.0000 -3.9941 0.0000 8.3955" Properties=species:S:1:pos:R:3 pbc="T T T"
Na 5.7755 1.5591 4.1095
Na 7.3054 1.5591 0.7986
Tl 3.0141 4.6774 4.3758
Tl 1.4270 1.5591 3.3351
Na 0.4271 0.0343 6.2986
Na 0.4271 3.0839 6.2986
Na 4.0140 3.1526 1.4124
Na -2.8643 4.6774 6.9123
Na -1.3344 4.6774 3.6014
Sn 1.1551 4.6774 1.6791
Na 4.0140 6.2022 1.4124
Tl 6.7164 4.6774 -0.4274
Sn 3.2860 1.5591 6.0319
Tl -2.2753 1.5591 8.1384
```

Calculated values
Its calculated total energy is -2.050 eV per atom. The value obtained for the formation energy is -0.338 eV/f.u. Its polymorph energy (0 for the lowest one) is 0.038 eV/atom.

***

VASP calculation (PBE) on Na3TlSn after structural relaxation.

```
10
Lattice="-4.1990 -2.9748 2.4730 2.7560 0.2607 4.9933 -4.5426 10.7935 -1.3202" Properties=species:S:1:pos:R:3 pbc="T T T"
Na 0.7723 2.5246 4.3482
Na -0.6143 2.3934 1.8359
Na -3.3360 5.9801 1.5291
Sn -2.8519 -0.1387 1.5813
Tl 0.0000 0.0000 0.0000
Na -2.6497 2.0994 4.6169
Na -1.5307 7.9866 3.6920
Na -3.6435 6.4898 4.9362
Sn -6.6113 6.6004 3.3045
Tl -1.2540 4.8486 3.7031
```

Calculated values
Its calculated total energy is -1.882 eV per atom. The value obtained for the formation energy is 0.916 eV/f.u. Its polymorph energy (0 for the lowest one) is 0.322 eV/atom.

***

VASP calculation (PBE) on Na5Tl2Sn after structural relaxation.

```
16
Lattice="-2.3463 -7.9883 1.2210 1.1307 -1.5834 -8.1868 7.0140 3.0896 4.6958" Properties=species:S:1:pos:R:3 pbc="T T T"
Na 1.4577 -7.1738 -5.6448
Sn 3.2031 -0.8481 0.6064
Tl -1.3127 -7.9174 -4.1395
Na 1.4652 -3.4938 -0.5375
Na 0.0000 0.0000 0.0000
Sn 2.5953 -5.6340 -2.8765
Na 0.4872 -7.7613 -1.3406
Na 4.3407 0.6917 3.3747
Na 5.3112 1.2792 -0.9295
Na 2.4356 -2.9062 -4.8418
Na 3.3628 -3.5759 2.5717
Tl 0.0971 -1.6543 -2.8264
Tl 0.1213 -4.2885 -6.6382
Na 4.3332 -2.9884 -1.7325
Na -0.6078 -4.7859 -3.4829
Tl -1.3369 -5.2833 -0.3277
```

Calculated values
Its calculated total energy is -2.002 eV per atom. The value obtained for the formation energy is -0.683 eV/f.u. Its polymorph energy (0 for the lowest one) is 0.027 eV/atom.

***

VASP calculation (PBE) on Na2Tl6Sn3 after structural relaxation.

```
11
Lattice="-2.0563 2.1815 1.7576 -8.5756 -2.2419 -7.2503 -1.5683 -7.2756 3.7601" Properties=species:S:1:pos:R:3 pbc="T T T"
Na -11.2500 -6.0088 -2.2683
Tl -7.8206 -6.0525 -1.6374
Na -0.9502 -1.3272 0.5356
Tl -9.5635 -3.5409 -3.3583
Sn -4.2878 -1.1209 -3.6252
Tl -6.8402 -2.3713 -5.0594
Tl -2.6367 -3.7951 1.6256
Tl -5.3600 -4.9647 3.3267
Sn -6.9416 -2.4535 -1.6406
Sn -5.2586 -4.8825 -0.0921
Tl -4.3796 -1.2835 -0.0952
```

Calculated values
Its calculated total energy is -2.629 eV per atom. The value obtained for the formation energy is -0.077 eV/f.u.

***

VASP calculation (PBE) on Na2TlSn after structural relaxation.

```
4
Lattice="3.4983 0.0000 0.0000 1.7491 3.0296 0.0000 1.7491 1.0099 10.6978" Properties=species:S:1:pos:R:3 pbc="T T T"
Na 1.7491 1.0099 2.7316
Na 1.7491 1.0099 7.9655
Tl 3.4983 2.0197 0.0064
Sn 3.4983 2.0197 5.3433
```

Calculated values
Its calculated total energy is -2.332 eV per atom. The value obtained for the formation energy is -0.320 eV/f.u.

***

VASP calculation (PBE) on NaTmTlSn after structural relaxation.

```
4
Lattice="5.3079 0.0000 0.0000 2.6540 4.5968 0.0000 2.6540 1.5323 4.3339" Properties=species:S:1:pos:R:3 pbc="T T T"
Tl 7.9619 4.5968 3.2504
Sn 2.6540 1.5323 1.0835
Tm 5.3079 3.0645 2.1670
Na 0.0000 0.0000 0.0000
```

Calculated values
Its calculated total energy is -3.307 eV per atom. The value obtained for the formation energy is -1.067 eV/f.u.

***

VASP calculation (PBE) on NaTlZnSn after structural relaxation.

```
4
Lattice="-0.2197 1.2935 4.9829 -4.4307 1.6645 2.0368 -2.5857 -2.9718 3.3216" Properties=species:S:1:pos:R:3 pbc="T T T"
Na -3.6180 -0.0069 5.1706
Sn -1.8090 -0.0034 2.5853
Zn 0.0000 0.0000 0.0000
Tl -5.4271 -0.0103 7.7560
```

Calculated values
Its calculated total energy is -2.244 eV per atom. The value obtained for the formation energy is -0.015 eV/f.u.

***

VASP calculation (PBE) on NaTmSn6 after structural relaxation.

```
8
Lattice="4.6834 0.0000 0.0000 0.0000 4.6834 0.0000 0.0000 0.0000 9.5340" Properties=species:S:1:pos:R:3 pbc="T T T"
Sn 2.3417 0.0000 7.1441
Na 0.0000 0.0000 0.0000
Sn 0.0000 2.3417 2.3899
Sn 2.3417 2.3417 0.0000
Sn 0.0000 2.3417 7.1441
Tm 0.0000 0.0000 4.7670
Sn 2.3417 2.3417 4.7670
Sn 2.3417 0.0000 2.3899
```

Calculated values
Its calculated total energy is -3.970 eV per atom. The value obtained for the formation energy is -1.956 eV/f.u.

***

VASP calculation (PBE) on Na3TmSn12 after structural relaxation.

```
16
Lattice="-0.1880 4.4708 -1.3104 -3.3123 -1.0505 -3.1090 -13.6579 3.3584 13.4164" Properties=species:S:1:pos:R:3 pbc="T T T"
Sn -5.1682 2.5506 1.1479
Sn -3.3482 -0.1092 0.1076
Sn -11.9900 4.2280 7.8490
Sn -13.6221 2.4170 10.1998
Na -6.8290 1.6792 6.7082
Sn -6.7706 0.7323 3.4695
Sn -8.5791 3.3893 4.4985
Sn -5.2084 3.4930 4.3687
Sn -1.7501 1.7101 -2.2097
Sn -12.0599 5.1777 11.0991
Sn -8.6375 4.3362 7.7372
Tm 0.0000 0.0000 0.0000
Sn -10.1996 1.5755 6.8379
Sn -1.7860 2.6514 1.0069
Na -3.3850 0.8323 3.3252
Na -10.2729 2.5260 10.0912
```

Calculated values
Its calculated total energy is -3.704 eV per atom. The value obtained for the formation energy is -2.795 eV/f.u.

***

VASP calculation (PBE) on NaTmSn2 after structural relaxation.

```
4
Lattice="3.4228 0.0000 0.0000 0.0000 3.4228 0.0000 0.0000 0.0000 9.1456" Properties=species:S:1:pos:R:3 pbc="T T T"
Tm 1.7114 1.7114 4.5728
Na 1.7114 1.7114 0.0000
Sn 0.0000 0.0000 6.7510
Sn 0.0000 0.0000 2.3946
```

Calculated values
Its calculated total energy is -3.833 eV per atom. The value obtained for the formation energy is -1.537 eV/f.u.

***

VASP calculation (PBE) on NaTm2Sn9 after structural relaxation.

```
12
Lattice="4.6828 0.0000 0.0000 0.0000 4.6828 0.0000 0.0000 0.0000 14.2773" Properties=species:S:1:pos:R:3 pbc="T T T"
Sn 2.3414 0.0000 7.1387
Sn 2.3414 2.3414 9.5222
Na 0.0000 0.0000 0.0000
Sn 0.0000 2.3414 2.4022
Sn 2.3414 0.0000 11.8751
Sn 2.3414 2.3414 4.7551
Tm 0.0000 0.0000 4.8285
Sn 2.3414 0.0000 2.4022
Sn 0.0000 2.3414 11.8751
Sn 2.3414 2.3414 0.0000
Tm 0.0000 0.0000 9.4488
Sn 0.0000 2.3414 7.1387
```

Calculated values
Its calculated total energy is -4.149 eV per atom. The value obtained for the formation energy is -3.503 eV/f.u.

***

VASP calculation (PBE) on NaTmSn2 after structural relaxation.

```
4
Lattice="3.4128 0.0000 0.0000 0.0000 5.4850 -0.9724 0.0000 -0.2459 5.5651" Properties=species:S:1:pos:R:3 pbc="T T T"
Tm 1.7064 2.6195 2.2963
Sn 0.0000 -0.1230 2.7825
Na 1.7064 0.0000 0.0000
Sn 0.0000 2.7425 -0.4862
```

Calculated values
Its calculated total energy is -3.831 eV per atom. The value obtained for the formation energy is -1.528 eV/f.u.

***

> What is the calculated total energy in the second record?

-1.882 eV per atom